This record from Alexandria describes a relaxed Th2GeBi crystal. The functional is GGA-PBE.

The space group is P4/mmm (No. 123) and the conventional cell measures 3.6850, 3.6850 and 8.1944 Å, with angles of 90.00, 90.00 and 90.00 degrees. The asymmetric unit holds Th at (0.0000, 0.0000, 0.2164), Ge at (0.5000, 0.5000, 0.0000) and Bi at (0.5000, 0.5000, 0.5000).

The value obtained for the offset from the most stable computed form is 0.2117 eV/atom. Its density of states at the Fermi level is 1.109 states/eV per atom. The value obtained for the formation energy is -0.514 eV per atom.

This record from Alexandria describes a relaxed Th6GeBi5 crystal. The functional is GGA-PBE.

The space group is C2/m (No. 12) and the conventional cell measures 7.8885, 13.6670 and 7.8723 Å, with angles of 90.00, 109.49 and 90.00 degrees. The asymmetric unit holds Th at (0.2254, 0.0000, 0.2584), Th at (0.2304, 0.1547, 0.7321), Ge at (0.0000, 0.0000, 0.5000), Bi at (0.0000, 0.1775, 0.0000), Bi at (0.0000, 0.3363, 0.5000) and Bi at (0.0000, 0.5000, 0.0000).

Its density of states at the Fermi level is 0.694 states/eV per atom. The value obtained for the formation energy is -0.625 eV per atom.

This record from Alexandria describes a relaxed Th4GeBi3 crystal. The functional is GGA-PBE.

The space group is P2/c (No. 13) and the conventional cell measures 7.9011, 9.0435 and 7.7997 Å, with angles of 90.00, 109.27 and 90.00 degrees. The asymmetric unit holds Th at (0.2228, 0.1128, 0.0008), Th at (0.2370, 0.3564, 0.4842), Ge at (0.0000, 0.1234, 0.2500), Bi at (0.0000, 0.3784, 0.7500), Bi at (0.5000, 0.1232, 0.7500) and Bi at (0.5000, 0.3787, 0.2500).

Its density of states at the Fermi level is 0.499 states/eV per atom. The value obtained for the formation energy is -0.648 eV per atom.